Entry 1:
! DyPaGe4 | Alexandria | PBE-GGA | optimized geometry; values from VASP
&SYSTEM
  ibrav = 0, nat = 6, ntyp = 3
/
ATOMIC_SPECIES
Dy 162.50 Dy.upf
Pa 231.04 Pa.upf
Ge 72.64 Ge.upf
ATOMIC_POSITIONS crystal
Dy 0.000 0.000 0.000
Pa 0.250 0.250 0.250
Ge 0.122 0.626 0.626
Ge 0.626 0.122 0.626
Ge 0.626 0.626 0.122
Ge 0.626 0.626 0.626
CELL_PARAMETERS angstrom
0.000 3.937 3.937
3.937 0.000 3.937
3.937 3.937 0.000
! final energy = -5.605 eV per atom
! energy relative to the elements = -102 kJ/mol of formula units
! magnetization = 0.6 μB per formula unit

Entry 2:
! YNbBS2 | Alexandria | PBE-GGA | optimized geometry; values from VASP
&SYSTEM
  ibrav = 0, nat = 5, ntyp = 4
/
ATOMIC_SPECIES
Y 88.91 Y.upf
Nb 92.91 Nb.upf
B 10.81 B.upf
S 32.06 S.upf
ATOMIC_POSITIONS crystal
Y 0.000 0.000 0.000
Nb 0.500 0.500 0.500
B 0.000 0.000 0.500
S 0.000 0.500 0.000
S 0.500 0.000 0.000
CELL_PARAMETERS angstrom
5.034 0.000 0.000
0.000 5.034 0.000
0.000 0.000 4.509
! final energy = -5.323 eV per atom
! ΔE_f (raw) = 970 meV per atom
! magnetization = 0.0 μB per formula unit

Entry 3:
! LaDyScCd | Alexandria | PBE-GGA | optimized geometry; values from VASP
&SYSTEM
  ibrav = 0, nat = 4, ntyp = 4
/
ATOMIC_SPECIES
La 138.91 La.upf
Dy 162.50 Dy.upf
Sc 44.96 Sc.upf
Cd 112.41 Cd.upf
ATOMIC_POSITIONS crystal
La 0.000 0.000 0.000
Dy 0.500 0.500 0.500
Sc 0.750 0.750 0.750
Cd 0.250 0.250 0.250
CELL_PARAMETERS angstrom
0.000 3.853 3.853
3.853 0.000 3.853
3.853 3.853 0.000
! final energy = -4.247 eV per atom
! energy relative to the lowest polymorph listed for this composition = 62 meV/atom
! energy relative to the elements = -21 kJ/mol of formula units
! magnetization = 0.2 μB per formula unit

Entry 4:
! Cs2LiSmBr6 | Alexandria | PBE-GGA | optimized geometry; values from VASP
&SYSTEM
  ibrav = 0, nat = 20, ntyp = 4
/
ATOMIC_SPECIES
Cs 132.91 Cs.upf
Li 6.94 Li.upf
Sm 150.36 Sm.upf
Br 79.90 Br.upf
ATOMIC_POSITIONS crystal
Cs 0.127 0.127 0.127
Cs 0.290 0.290 0.290
Cs 0.710 0.710 0.710
Cs 0.873 0.873 0.873
Li 0.000 0.000 0.000
Li 0.500 0.500 0.500
Sm 0.413 0.413 0.413
Sm 0.587 0.587 0.587
Br 0.135 0.620 0.620
Br 0.203 0.203 0.714
Br 0.203 0.714 0.203
Br 0.286 0.797 0.797
Br 0.380 0.380 0.865
Br 0.380 0.865 0.380
Br 0.620 0.135 0.620
Br 0.620 0.620 0.135
Br 0.714 0.203 0.203
Br 0.797 0.286 0.797
Br 0.797 0.797 0.286
Br 0.865 0.380 0.380
CELL_PARAMETERS angstrom
3.999 2.309 13.334
-3.999 2.309 13.334
0.000 -4.617 13.334
! final energy = -3.654 eV per atom
! ΔE_f (raw) = -1816 meV per atom
! magnetization = 0.0 μB per formula unit

Entry 5:
! SrMg2ScAs | Alexandria | PBE-GGA | optimized geometry; values from VASP
&SYSTEM
  ibrav = 0, nat = 5, ntyp = 4
/
ATOMIC_SPECIES
Sr 87.62 Sr.upf
Mg 24.30 Mg.upf
Sc 44.96 Sc.upf
As 74.92 As.upf
ATOMIC_POSITIONS crystal
Sr 0.000 0.000 0.000
Mg 0.000 0.500 0.000
Mg 0.500 0.000 0.000
Sc 0.500 0.500 0.500
As 0.000 0.000 0.500
CELL_PARAMETERS angstrom
5.659 0.000 0.000
0.000 5.659 0.000
0.000 0.000 5.504
! final energy = -2.303 eV per atom
! energy relative to the elements = 419 kJ/mol of formula units
! magnetization = 0.3 μB per formula unit

Entry 6:
! Rb4Ce3ZrS8 | Alexandria | PBE-GGA | optimized geometry; values from VASP
&SYSTEM
  ibrav = 0, nat = 16, ntyp = 4
/
ATOMIC_SPECIES
Rb 85.47 Rb.upf
Ce 140.12 Ce.upf
Zr 91.22 Zr.upf
S 32.06 S.upf
ATOMIC_POSITIONS crystal
Rb 0.000 0.000 0.000
Rb 0.000 0.500 0.500
Rb 0.500 0.000 0.500
Rb 0.500 0.500 0.000
Ce 0.000 0.000 0.500
Ce 0.000 0.500 0.000
Ce 0.500 0.000 0.000
Zr 0.500 0.500 0.500
S 0.233 0.233 0.233
S 0.248 0.722 0.722
S 0.278 0.278 0.752
S 0.278 0.752 0.278
S 0.722 0.248 0.722
S 0.722 0.722 0.248
S 0.752 0.278 0.278
S 0.767 0.767 0.767
CELL_PARAMETERS angstrom
4.121 2.379 7.708
-4.121 2.379 7.708
0.000 -4.759 7.708
! final energy = -5.618 eV per atom
! ΔE_f (raw) = -1666 meV per atom
! magnetization = 4.0 μB per formula unit